VASP calculation (GGA-PBE) on crystalline HfInHg3Se4 at its relaxed geometry.

abc: 6.927 6.927 6.927
angles: 90.00 90.00 90.00
Space group P-43m (No. 215)
Symmetry-distinct sites (fractional):
1 Hf 0.000 0.000 0.000
2 In 0.500 0.500 0.500
3 Hg 0.000 0.000 0.500
4 Se 0.213 0.213 0.787

Output
magnetization: 0.0002 μB per atom
ρ: 6.050 g cm⁻³
electronic total energy: -30.0 eV for the cell shown



VASP calculation (GGA-PBE) on crystalline HfInHg3Te4 at its relaxed geometry.

abc: 7.313 7.313 7.313
angles: 90.00 90.00 90.00
Space group P-43m (No. 215)
Symmetry-distinct sites (fractional):
1 Hf 0.000 0.000 0.000
2 In 0.500 0.500 0.500
3 Hg 0.000 0.000 0.500
4 Te 0.219 0.219 0.781

Output
magnetization: 0.0002 μB per atom
ρ: 5.968 g cm⁻³
electronic total energy: -26.9 eV for the cell shown



VASP calculation (GGA-PBE) on crystalline HfHgIr at its relaxed geometry.

abc: 6.386 6.386 6.386
angles: 90.00 90.00 90.00
Space group F-43m (No. 216)
Symmetry-distinct sites (fractional):
1 Hf 0.000 0.000 0.000
2 Hg 0.000 0.000 0.500
3 Ir 0.250 0.250 0.750

Output
energy of formation from the pure elements: -20 kJ/mol of atoms
energy relative to the lowest polymorph listed for this composition: 0.0 meV/atom
magnetization: 0.0007 μB per atom
ρ: 14.571 g cm⁻³
electronic total energy: -78.9 eV for the cell shown